# Zn2RePt

A crystal of Zn2RePt relaxed with PBEsol (meta-GGA SCAN, Alexandria).

```
Zn2RePt
1.0
-1.6331 0.7546 -2.0052
-2.5492 -2.6643 1.0736
-2.3840 3.6110 3.3007
Pt Re Zn
1 1 2
Direct
0.0000 0.0000 0.4996
0.5000 0.5000 0.7509
0.0000 0.0000 0.0037
0.5000 0.5000 0.2458
```

Calculated values
The value obtained for the offset from the most stable computed form is 0 meV/atom. The formation energy from the elements comes out at -0.04 eV/f.u. As for the density of states at the Fermi level: 2.23 states/eV/cell. Its total energy is -168.36 eV per cell.

=====

# CaMgBr3

A crystal of CaMgBr3 relaxed with PBEsol (meta-GGA SCAN, Alexandria).

```
CaMgBr3
1.0
5.2320 0.0000 0.0000
0.0000 5.2320 0.0000
0.0000 0.0000 5.2320
Ca Mg Br
1 1 3
Direct
0.5000 0.5000 0.5000
0.0000 0.0000 0.0000
0.0000 0.5000 0.0000
0.0000 0.0000 0.5000
0.5000 0.0000 0.0000
```

Calculated values
Its raw formation energy is -1.273 eV/atom. As for the density of states at the Fermi level: 2.31 states/eV/cell. Its total energy is -79.38 eV per cell.

=====

# MoRu3

A crystal of MoRu3 relaxed with PBEsol (meta-GGA SCAN, Alexandria).

```
MoRu3
1.0
-2.2581 -1.1916 -0.9177
1.2179 -0.9403 2.2347
-4.7864 5.3332 4.8525
Ru Mo
3 1
Direct
0.0000 0.0000 0.5000
0.6667 0.3333 0.7442
0.6667 0.3333 0.2558
0.0000 0.0000 0.0000
```

Calculated values
The value obtained for the offset from the most stable computed form is 115 meV/atom. The formation energy from the elements comes out at 0.24 eV/f.u. As for the density of states at the Fermi level: 3.62 states/eV/cell. Its total energy is -139.12 eV per cell.

=====

# LiSN2Cl

A crystal of LiSN2Cl relaxed with PBEsol (meta-GGA SCAN, Alexandria).

```
LiSN2Cl
1.0
3.9144 0.0000 0.0000
0.0000 3.9144 0.0000
0.0000 0.0000 4.7126
S N Li Cl
1 2 1 1
Direct
0.0000 0.0000 0.5000
0.0000 0.5000 0.0000
0.5000 0.0000 0.0000
0.5000 0.5000 0.5000
0.0000 0.0000 0.0000
```

Calculated values
The value obtained for the offset from the most stable computed form is 0 meV/atom. Its raw formation energy is 1.786 eV/atom. As for the density of states at the Fermi level: 0.82 states/eV/cell. Its total energy is -29.65 eV per cell.

=====

# Na3ZnPCO7

A crystal of Na3ZnPCO7 relaxed with PBEsol (meta-GGA SCAN, Alexandria).

```
Na3ZnPCO7
1.0
-4.9365 -1.1048 0.8095
1.6882 -3.7916 5.1209
-0.6956 7.0373 5.4399
Na Zn P C O
6 2 2 2 14
Direct
0.2420 0.7500 0.0853
0.7514 0.9993 0.2602
0.7514 0.5007 0.2602
0.2486 0.4993 0.7398
0.2486 0.0007 0.7398
0.7580 0.2500 0.9147
0.2247 0.2500 0.3629
0.7753 0.7500 0.6371
0.2896 0.7500 0.4152
0.7104 0.2500 0.5848
0.2583 0.2500 0.0656
0.7417 0.7500 0.9344
0.7033 0.7500 0.0778
0.0249 0.2500 0.1205
0.4565 0.2500 0.1570
0.2138 0.9375 0.3193
0.2138 0.5625 0.3193
0.5915 0.7500 0.4396
0.8446 0.2500 0.4300
0.1554 0.7500 0.5700
0.4085 0.2500 0.5604
0.7862 0.4375 0.6807
0.7862 0.0625 0.6807
0.5435 0.7500 0.8430
0.9751 0.7500 0.8795
0.2967 0.2500 0.9222
```

Calculated values
The value obtained for the offset from the most stable computed form is 0 meV/atom. Its raw formation energy is -2.129 eV/atom. As for the density of states at the Fermi level: 0.00 states/eV/cell. Its total energy is -235.91 eV per cell.

=====

# Ga3Ir

A crystal of Ga3Ir relaxed with PBEsol (meta-GGA SCAN, Alexandria).

```
Ga3Ir
1.0
6.4957 0.0000 0.0000
0.0000 6.4957 0.0000
0.0000 0.0000 6.5813
Ga Ir
12 4
Direct
0.0000 0.5000 0.5000
0.5000 0.0000 0.0000
0.5000 0.0000 0.5000
0.0000 0.5000 0.0000
0.3597 0.6403 0.2564
0.6403 0.3597 0.2564
0.1403 0.1403 0.7564
0.8597 0.8597 0.7564
0.6403 0.3597 0.7436
0.3597 0.6403 0.7436
0.8597 0.8597 0.2436
0.1403 0.1403 0.2436
0.1588 0.8412 0.5000
0.8412 0.1588 0.5000
0.3412 0.3412 0.0000
0.6588 0.6588 0.0000
```

Calculated values
The formation energy from the elements comes out at -1.70 eV/f.u. As for the density of states at the Fermi level: 1.73 states/eV/cell. Its total energy is -487.37 eV per cell.

=====

# Zr2TaPd

A crystal of Zr2TaPd relaxed with PBEsol (meta-GGA SCAN, Alexandria).

```
Zr2TaPd
1.0
4.7021 0.0000 0.0000
2.3511 4.0721 0.0000
2.3511 1.3574 3.8392
Zr Pd Ta
2 1 1
Direct
0.2500 0.2500 0.2500
0.7500 0.7500 0.7500
0.0000 0.0000 0.0000
0.5000 0.5000 0.5000
```

Calculated values
The formation energy from the elements comes out at -0.86 eV/f.u. As for the density of states at the Fermi level: 4.38 states/eV/cell. Its total energy is -161.61 eV per cell.

=====

# La2SiAu

A crystal of La2SiAu relaxed with PBEsol (meta-GGA SCAN, Alexandria).

```
La2SiAu
1.0
-0.5343 1.3318 -3.1289
1.9469 -2.9532 -1.5895
-6.3029 -3.8520 -0.5631
Au La Si
1 2 1
Direct
0.5000 0.5000 0.5000
0.0000 0.0000 0.7614
0.0000 0.0000 0.2386
0.5000 0.5000 0.0000
```

Calculated values
Its raw formation energy is -0.776 eV/atom. As for the density of states at the Fermi level: 2.25 states/eV/cell. Its total energy is -168.49 eV per cell.